No. 1
Th4In2Os | PBE | relaxed

Computed properties:
ΔE_f: -0.6 kJ/mol of atoms
SG: No. 10

a b c (Å): 6.903 3.900 8.567
angles (deg): 90.00 102.87 90.00
Sites, in units of the cell vectors:
1 Th 0.136 0.000 0.343
2 Th 0.271 0.500 0.988
3 Th 0.729 0.500 0.012
4 Th 0.864 0.000 0.657
5 In 0.413 0.500 0.645
6 In 0.587 0.500 0.355
7 Os 0.000 0.000 0.000

---

No. 2
ThInOs | PBE | relaxed

Computed properties:
ΔE_f: 1.6 kJ/mol of atoms
SG: No. 187

a b c (Å): 4.703 4.703 3.669
angles (deg): 90.00 90.00 120.00
Sites, in units of the cell vectors:
1 Th 0.000 0.000 0.000
2 In 0.333 0.667 0.500
3 Os 0.667 0.333 0.500

---

No. 3
Th11In9Os4 | PBE | relaxed

Computed properties:
ΔE_f: -34.1 kJ/mol of atoms
SG: No. 65

a b c (Å): 13.381 13.381 3.874
angles (deg): 90.00 90.00 112.49
Sites, in units of the cell vectors:
1 Th 0.000 0.000 0.000
2 Th 0.079 0.419 0.000
3 Th 0.157 0.843 0.000
4 Th 0.314 0.314 0.000
5 Th 0.375 0.625 0.000
6 Th 0.419 0.079 0.000
7 Th 0.581 0.921 0.000
8 Th 0.625 0.375 0.000
9 Th 0.686 0.686 0.000
10 Th 0.843 0.157 0.000
11 Th 0.921 0.581 0.000
12 In 0.076 0.218 0.500
13 In 0.159 0.636 0.500
14 In 0.218 0.076 0.500
15 In 0.364 0.841 0.500
16 In 0.500 0.500 0.500
17 In 0.636 0.159 0.500
18 In 0.782 0.924 0.500
19 In 0.841 0.364 0.500
20 In 0.924 0.782 0.500
21 Os 0.244 0.445 0.500
22 Os 0.445 0.244 0.500
23 Os 0.555 0.756 0.500
24 Os 0.756 0.555 0.500

---

No. 4
Th4InOs2 | PBE | relaxed

Computed properties:
ΔE_f: -23.6 kJ/mol of atoms
SG: No. 166

a b c (Å): 13.308 13.308 13.308
angles (deg): 18.48 18.48 18.48
Sites, in units of the cell vectors:
1 Th 0.108 0.108 0.108
2 Th 0.299 0.299 0.299
3 Th 0.701 0.701 0.701
4 Th 0.892 0.892 0.892
5 In 0.500 0.500 0.500
6 Os 0.403 0.403 0.403
7 Os 0.597 0.597 0.597

---

No. 5
Th2InOs | PBE | relaxed

Computed properties:
ΔE_f: -24.8 kJ/mol of atoms
ΔE to the lowest computed polymorph: 0.016 eV/atom
SG: No. 166

a b c (Å): 8.540 8.540 8.540
angles (deg): 27.81 27.81 27.81
Sites, in units of the cell vectors:
1 Th 0.230 0.230 0.230
2 Th 0.770 0.770 0.770
3 In 0.000 0.000 0.000
4 Os 0.500 0.500 0.500

---

No. 6
Th6In2Os | PBE | relaxed

Computed properties:
ΔE_f: -24.9 kJ/mol of atoms
SG: No. 189

a b c (Å): 8.899 8.899 3.824
angles (deg): 90.00 90.00 120.00
Sites, in units of the cell vectors:
1 Th 0.000 0.246 0.000
2 Th 0.000 0.607 0.500
3 Th 0.246 0.000 0.000
4 Th 0.393 0.393 0.500
5 Th 0.607 0.000 0.500
6 Th 0.754 0.754 0.000
7 In 0.333 0.667 0.000
8 In 0.667 0.333 0.000
9 Os 0.000 0.000 0.500

---

No. 7
Th5In2Os2 | PBE | relaxed

Computed properties:
ΔE_f: -14.8 kJ/mol of atoms
SG: No. 46

a b c (Å): 10.341 10.341 10.341
angles (deg): 64.45 130.33 141.63
Sites, in units of the cell vectors:
1 Th 0.215 0.032 0.247
2 Th 0.215 0.468 0.683
3 Th 0.404 0.442 0.462
4 Th 0.693 0.139 0.244
5 Th 0.693 0.949 0.055
6 Th 0.785 0.532 0.317
7 Th 0.785 0.968 0.753
8 Th 0.894 0.449 0.756
9 Th 0.894 0.639 0.945
10 Th 0.981 0.942 0.538
11 In 0.278 0.417 0.066
12 In 0.278 0.712 0.361
13 In 0.352 0.212 0.934
14 In 0.352 0.917 0.639
15 Os 0.469 0.733 0.236
16 Os 0.497 0.233 0.764
17 Os 0.698 0.198 0.500
18 Os 0.698 0.698 0.000

---

No. 8
ThInOs | PBE | relaxed

Computed properties:
ΔE_f: -25.6 kJ/mol of atoms
SG: No. 51

a b c (Å): 12.467 4.375 7.704
angles (deg): 90.00 90.00 90.00
Sites, in units of the cell vectors:
1 Th 0.043 0.000 0.239
2 Th 0.250 0.000 0.847
3 Th 0.457 0.000 0.239
4 Th 0.543 0.000 0.761
5 Th 0.750 0.000 0.153
6 Th 0.957 0.000 0.761
7 In 0.126 0.500 0.561
8 In 0.250 0.500 0.190
9 In 0.374 0.500 0.561
10 In 0.626 0.500 0.439
11 In 0.750 0.500 0.810
12 In 0.874 0.500 0.439
13 Os 0.090 0.500 0.928
14 Os 0.250 0.000 0.420
15 Os 0.410 0.500 0.928
16 Os 0.590 0.500 0.072
17 Os 0.750 0.000 0.580
18 Os 0.910 0.500 0.072

---

So what do the calculations give for total magnetization? Going down the list: 0.00, 0.00, 0.00, 0.00, 0.00, 0.00, 0.00, 0.00 μB/cell.